# 1
First-principles (GGA-PBE) data for crystalline TlSeS5 at its relaxed geometry, as listed in the Alexandria database.

Properties
Total moment ... 0.0 μB/f.u.
Formation energy from raw total energies ... 0.076 eV per atom
Mass density ... 3582 kg/m3

a = 4.235 Å, b = 6.038 Å, c = 8.356 Å
α = 97.53°, β = 94.09°, γ = 102.60°
Space group P1 (No. 1)
Asymmetric unit:
Tl1 0.000 0.000 0.000 (multiplicity 1)
Se1 0.412 0.690 0.311 (multiplicity 1)
S1 0.136 0.444 0.658 (multiplicity 1)
S2 0.158 0.748 0.578 (multiplicity 1)
S3 0.508 0.461 0.820 (multiplicity 1)
S4 0.561 0.044 0.277 (multiplicity 1)
S5 0.995 0.527 0.138 (multiplicity 1)

***

# 2
First-principles (GGA-PBE) data for crystalline YZn2Ni at its relaxed geometry, as listed in the Alexandria database.

Properties
Total moment ... 0.0 μB/f.u.
Mass density ... 6363 kg/m3
ΔE_f ... -6.88 kcal/mol of atoms

a = 4.1434 Å, b = 4.1434 Å, c = 14.6617 Å
α = 90.00°, β = 90.00°, γ = 120.00°
Space group R-3m (No. 166, hexagonal axes)
Asymmetric unit:
Y1 0.0000 0.0000 0.0000 (multiplicity 3)
Zn1 0.0000 0.0000 0.2090 (multiplicity 6)
Ni1 0.0000 0.0000 0.5000 (multiplicity 3)

***

# 3
First-principles (GGA-PBE) data for crystalline PmMg2Ag2 at its relaxed geometry, as listed in the Alexandria database.

Properties
Total moment ... 0.0 μB/f.u.
Mass density ... 5983 kg/m3
Polymorph energy (0 for the lowest one) ... 0 meV/atom
ΔE_f ... -4.70 kcal/mol of atoms

a = 8.858 Å, b = 5.134 Å, c = 10.175 Å
α = 90.00°, β = 100.88°, γ = 90.00°
Space group C2/c (No. 15)
Asymmetric unit:
Pm1 0.000 0.167 0.250 (multiplicity 4)
Mg1 0.128 0.327 0.586 (multiplicity 8)
Ag1 0.191 0.343 0.872 (multiplicity 8)